DFT (PBE-GGA) results for Ag2Ru after structural relaxation.

Cell and atoms, written as extended XYZ:
```
6
Lattice="0.1069 3.0938 4.2904 2.6295 4.5895 -0.1130 -2.6591 4.5737 0.0302" Properties=species:S:1:pos:R:3 pbc="T T T"
Ag 1.3244 3.8268 0.4695
Ag 0.0631 3.0790 2.6711
Ag -1.3199 3.8190 0.5410
Ag 0.0097 1.5321 0.5259
Ru 0.0387 6.1285 2.1038
Ru 0.0580 9.1927 3.1557
```

crystal system	cubic
E_form	0.835	eV/atom
M_tot	3.4	μB/cell